Entry 1:
First-principles (PBE-GGA) data for a relaxed Pm2CuP3Rh12 crystal, as listed in Alexandria via LeMat-Bulk.

Computed properties:
DOS(E_F)   0.665 states/eV/atom
E   -6.755 eV/atom
Space-group type   No. 166
Volume   313 Å³/cell

a b c (Å): 7.027 7.027 7.027
angles (deg): 74.07 74.07 74.07
Positions (direct):
1 Pm 0.108 0.108 0.108
2 Pm 0.892 0.892 0.892
3 Cu 0.500 0.500 0.500
4 P 0.000 0.500 0.500
5 P 0.500 0.000 0.500
6 P 0.500 0.500 0.000
7 Rh 0.144 0.646 0.646
8 Rh 0.166 0.166 0.585
9 Rh 0.166 0.585 0.166
10 Rh 0.354 0.354 0.856
11 Rh 0.354 0.856 0.354
12 Rh 0.415 0.834 0.834
13 Rh 0.585 0.166 0.166
14 Rh 0.646 0.144 0.646
15 Rh 0.646 0.646 0.144
16 Rh 0.834 0.415 0.834
17 Rh 0.834 0.834 0.415
18 Rh 0.856 0.354 0.354

Entry 2:
First-principles (PBE-GGA) data for a relaxed Pm2CuP3Rh4 crystal, as listed in Alexandria via LeMat-Bulk.

Computed properties:
DOS(E_F)   0.460 states/eV/atom
E   -6.901 eV/atom
Space-group type   No. 115
Volume   166 Å³/cell

a b c (Å): 4.114 4.114 9.839
angles (deg): 90.00 90.00 90.00
Positions (direct):
1 Pm 0.000 0.500 0.242
2 Pm 0.500 0.000 0.758
3 Cu 0.500 0.500 0.000
4 P 0.000 0.000 0.000
5 P 0.000 0.500 0.636
6 P 0.500 0.000 0.364
7 Rh 0.000 0.000 0.500
8 Rh 0.000 0.500 0.869
9 Rh 0.500 0.000 0.131
10 Rh 0.500 0.500 0.500

Entry 3:
First-principles (PBE-GGA) data for a relaxed Pm3CuP2Rh9 crystal, as listed in Alexandria via LeMat-Bulk.

Computed properties:
DOS(E_F)   0.684 states/eV/atom
E   -6.890 eV/atom
Space-group type   No. 164
Volume   276 Å³/cell

a b c (Å): 6.145 6.145 8.427
angles (deg): 90.00 90.00 120.00
Positions (direct):
1 Pm 0.000 0.000 0.000
2 Pm 0.333 0.667 0.646
3 Pm 0.667 0.333 0.354
4 Cu 0.000 0.000 0.500
5 P 0.333 0.667 0.166
6 P 0.667 0.333 0.834
7 Rh 0.000 0.500 0.000
8 Rh 0.157 0.315 0.296
9 Rh 0.157 0.843 0.296
10 Rh 0.315 0.157 0.704
11 Rh 0.500 0.000 0.000
12 Rh 0.500 0.500 0.000
13 Rh 0.685 0.843 0.296
14 Rh 0.843 0.157 0.704
15 Rh 0.843 0.685 0.704

Entry 4:
First-principles (PBE-GGA) data for a relaxed PmCuP2Rh5 crystal, as listed in Alexandria via LeMat-Bulk.

Computed properties:
DOS(E_F)   0.686 states/eV/atom
E   -6.748 eV/atom
Space-group type   No. 123
Volume   158 Å³/cell

a b c (Å): 4.062 4.062 9.569
angles (deg): 90.00 90.00 90.00
Positions (direct):
1 Pm 0.000 0.000 0.000
2 Cu 0.000 0.000 0.500
3 P 0.500 0.500 0.236
4 P 0.500 0.500 0.764
5 Rh 0.000 0.500 0.342
6 Rh 0.000 0.500 0.658
7 Rh 0.500 0.000 0.342
8 Rh 0.500 0.000 0.658
9 Rh 0.500 0.500 0.000

Entry 5:
First-principles (PBE-GGA) data for a relaxed PmScCuP crystal, as listed in Alexandria via LeMat-Bulk.

Computed properties:
DOS(E_F)   1.025 states/eV/atom
E   -5.688 eV/atom
Space-group type   No. 216
Volume   313 Å³/cell

a b c (Å): 6.789 6.789 6.789
angles (deg): 90.00 90.00 90.00
Positions (direct):
1 Pm 0.000 0.000 0.000
2 Pm 0.000 0.500 0.500
3 Pm 0.500 0.000 0.500
4 Pm 0.500 0.500 0.000
5 Sc 0.000 0.000 0.500
6 Sc 0.000 0.500 0.000
7 Sc 0.500 0.000 0.000
8 Sc 0.500 0.500 0.500
9 Cu 0.250 0.250 0.250
10 Cu 0.250 0.750 0.750
11 Cu 0.750 0.250 0.750
12 Cu 0.750 0.750 0.250
13 P 0.250 0.250 0.750
14 P 0.250 0.750 0.250
15 P 0.750 0.250 0.250
16 P 0.750 0.750 0.750

Entry 6:
First-principles (PBE-GGA) data for a relaxed SrPmCu2P2 crystal, as listed in Alexandria via LeMat-Bulk.

Computed properties:
DOS(E_F)   0.564 states/eV/atom
E   -5.142 eV/atom
Space-group type   No. 164
Volume   119 Å³/cell

a b c (Å): 4.042 4.042 8.426
angles (deg): 90.00 90.00 120.00
Positions (direct):
1 Sr 0.000 0.000 0.000
2 Pm 0.000 0.000 0.500
3 Cu 0.333 0.667 0.732
4 Cu 0.667 0.333 0.268
5 P 0.333 0.667 0.262
6 P 0.667 0.333 0.738

Entry 7:
First-principles (PBE-GGA) data for a relaxed TbPmCuP crystal, as listed in Alexandria via LeMat-Bulk.

Computed properties:
DOS(E_F)   0.998 states/eV/atom
E   -5.300 eV/atom
Space-group type   No. 216
Volume   343 Å³/cell

a b c (Å): 6.997 6.997 6.997
angles (deg): 90.00 90.00 90.00
Positions (direct):
1 Tb 0.000 0.000 0.000
2 Tb 0.000 0.500 0.500
3 Tb 0.500 0.000 0.500
4 Tb 0.500 0.500 0.000
5 Pm 0.000 0.000 0.500
6 Pm 0.000 0.500 0.000
7 Pm 0.500 0.000 0.000
8 Pm 0.500 0.500 0.500
9 Cu 0.250 0.250 0.250
10 Cu 0.250 0.750 0.750
11 Cu 0.750 0.250 0.750
12 Cu 0.750 0.750 0.250
13 P 0.250 0.250 0.750
14 P 0.250 0.750 0.250
15 P 0.750 0.250 0.250
16 P 0.750 0.750 0.750

Entry 8:
First-principles (PBE-GGA) data for a relaxed PmThCuP crystal, as listed in Alexandria via LeMat-Bulk.

Computed properties:
DOS(E_F)   1.130 states/eV/atom
E   -5.932 eV/atom
Space-group type   No. 216
Volume   357 Å³/cell

a b c (Å): 7.091 7.091 7.091
angles (deg): 90.00 90.00 90.00
Positions (direct):
1 Pm 0.000 0.000 0.000
2 Pm 0.000 0.500 0.500
3 Pm 0.500 0.000 0.500
4 Pm 0.500 0.500 0.000
5 Th 0.000 0.000 0.500
6 Th 0.000 0.500 0.000
7 Th 0.500 0.000 0.000
8 Th 0.500 0.500 0.500
9 Cu 0.250 0.250 0.250
10 Cu 0.250 0.750 0.750
11 Cu 0.750 0.250 0.750
12 Cu 0.750 0.750 0.250
13 P 0.250 0.250 0.750
14 P 0.250 0.750 0.250
15 P 0.750 0.250 0.250
16 P 0.750 0.750 0.750

Entry 9:
First-principles (PBE-GGA) data for a relaxed PrCuP crystal, as listed in Alexandria via LeMat-Bulk.

Computed properties:
DOS(E_F)   0.525 states/eV/atom
E   -5.589 eV/atom
Space-group type   No. 119
Volume   234 Å³/cell

a b c (Å): 4.071 4.071 14.142
angles (deg): 90.00 90.00 90.00
Positions (direct):
1 Pr 0.000 0.000 0.000
2 Pr 0.000 0.500 0.250
3 Pr 0.500 0.000 0.750
4 Pr 0.500 0.500 0.500
5 Cu 0.000 0.000 0.413
6 Cu 0.000 0.000 0.587
7 Cu 0.500 0.500 0.087
8 Cu 0.500 0.500 0.913
9 P 0.000 0.500 0.666
10 P 0.000 0.500 0.834
11 P 0.500 0.000 0.166
12 P 0.500 0.000 0.334

Entry 10:
First-principles (PBE-GGA) data for a relaxed PrCu6P4 crystal, as listed in Alexandria via LeMat-Bulk.

Computed properties:
DOS(E_F)   0.415 states/eV/atom
E   -4.877 eV/atom
Space-group type   No. 187
Volume   161 Å³/cell

a b c (Å): 6.959 6.959 3.828
angles (deg): 90.00 90.00 120.00
Positions (direct):
1 Pr 0.000 0.000 0.000
2 Cu 0.206 0.412 0.500
3 Cu 0.206 0.794 0.500
4 Cu 0.537 0.073 0.000
5 Cu 0.537 0.463 0.000
6 Cu 0.588 0.794 0.500
7 Cu 0.927 0.463 0.000
8 P 0.333 0.667 0.000
9 P 0.380 0.190 0.500
10 P 0.810 0.190 0.500
11 P 0.810 0.620 0.500

Entry 11:
First-principles (PBE-GGA) data for a relaxed PrCu4P2 crystal, as listed in Alexandria via LeMat-Bulk.

Computed properties:
DOS(E_F)   0.283 states/eV/atom
E   -5.082 eV/atom
Space-group type   No. 136
Volume   210 Å³/cell

a b c (Å): 7.386 7.386 3.855
angles (deg): 90.00 90.00 90.00
Positions (direct):
1 Pr 0.000 0.000 0.000
2 Pr 0.500 0.500 0.500
3 Cu 0.083 0.337 0.500
4 Cu 0.163 0.583 0.000
5 Cu 0.337 0.083 0.500
6 Cu 0.417 0.837 0.000
7 Cu 0.583 0.163 0.000
8 Cu 0.663 0.917 0.500
9 Cu 0.837 0.417 0.000
10 Cu 0.917 0.663 0.500
11 P 0.215 0.785 0.500
12 P 0.285 0.285 0.000
13 P 0.715 0.715 0.000
14 P 0.785 0.215 0.500

Entry 12:
First-principles (PBE-GGA) data for a relaxed PrCuP crystal, as listed in Alexandria via LeMat-Bulk.

Computed properties:
DOS(E_F)   0.738 states/eV/atom
E   -5.732 eV/atom
Space-group type   No. 187
Volume   59 Å³/cell

a b c (Å): 4.027 4.027 4.182
angles (deg): 90.00 90.00 120.00
Positions (direct):
1 Pr 0.000 0.000 0.000
2 Cu 0.333 0.667 0.500
3 P 0.667 0.333 0.500

Entry 13:
First-principles (PBE-GGA) data for a relaxed PrCuP crystal, as listed in Alexandria via LeMat-Bulk.

Computed properties:
DOS(E_F)   0.838 states/eV/atom
E   -5.468 eV/atom
Space-group type   No. 160
Volume   192 Å³/cell

a b c (Å): 4.049 4.049 13.535
angles (deg): 90.00 90.00 120.00
Positions (direct):
1 Pr 0.000 0.000 0.000
2 Pr 0.333 0.667 0.667
3 Pr 0.667 0.333 0.333
4 Cu 0.000 0.000 0.487
5 Cu 0.333 0.667 0.153
6 Cu 0.667 0.333 0.820
7 P 0.000 0.000 0.792
8 P 0.333 0.667 0.459
9 P 0.667 0.333 0.126

Entry 14:
First-principles (PBE-GGA) data for a relaxed PrCu6P2 crystal, as listed in Alexandria via LeMat-Bulk.

Computed properties:
DOS(E_F)   0.345 states/eV/atom
E   -4.837 eV/atom
Space-group type   No. 123
Volume   131 Å³/cell

a b c (Å): 3.865 3.865 8.769
angles (deg): 90.00 90.00 90.00
Positions (direct):
1 Pr 0.000 0.000 0.000
2 Cu 0.000 0.000 0.500
3 Cu 0.000 0.500 0.307
4 Cu 0.000 0.500 0.693
5 Cu 0.500 0.000 0.307
6 Cu 0.500 0.000 0.693
7 Cu 0.500 0.500 0.500
8 P 0.500 0.500 0.157
9 P 0.500 0.500 0.843

Entry 15:
First-principles (PBE-GGA) data for a relaxed PrCu4P2 crystal, as listed in Alexandria via LeMat-Bulk.

Computed properties:
DOS(E_F)   0.241 states/eV/atom
E   -5.093 eV/atom
Space-group type   No. 58
Volume   634 Å³/cell

a b c (Å): 11.047 14.737 3.895
angles (deg): 90.00 90.00 90.00
Positions (direct):
1 Pr 0.000 0.000 0.000
2 Pr 0.122 0.272 0.000
3 Pr 0.378 0.772 0.500
4 Pr 0.500 0.500 0.500
5 Pr 0.622 0.228 0.500
6 Pr 0.878 0.728 0.000
7 Cu 0.069 0.564 0.000
8 Cu 0.074 0.832 0.500
9 Cu 0.100 0.446 0.500
10 Cu 0.170 0.716 0.000
11 Cu 0.235 0.964 0.500
12 Cu 0.241 0.588 0.500
13 Cu 0.259 0.088 0.000
14 Cu 0.265 0.464 0.000
15 Cu 0.330 0.216 0.500
16 Cu 0.400 0.946 0.000
17 Cu 0.426 0.332 0.000
18 Cu 0.431 0.064 0.500
19 Cu 0.569 0.936 0.500
20 Cu 0.574 0.668 0.000
21 Cu 0.600 0.054 0.000
22 Cu 0.670 0.784 0.500
23 Cu 0.735 0.536 0.000
24 Cu 0.741 0.912 0.000
25 Cu 0.759 0.412 0.500
26 Cu 0.765 0.036 0.500
27 Cu 0.830 0.284 0.000
28 Cu 0.900 0.554 0.500
29 Cu 0.926 0.168 0.500
30 Cu 0.931 0.436 0.000
31 P 0.059 0.665 0.500
32 P 0.136 0.114 0.500
33 P 0.206 0.871 0.000
34 P 0.294 0.371 0.500
35 P 0.364 0.614 0.000
36 P 0.441 0.165 0.000
37 P 0.559 0.835 0.000
38 P 0.636 0.386 0.000
39 P 0.706 0.629 0.500
40 P 0.794 0.129 0.000
41 P 0.864 0.886 0.500
42 P 0.941 0.335 0.500

Entry 16:
First-principles (PBE-GGA) data for a relaxed Pr2CuP4Pt3 crystal, as listed in Alexandria via LeMat-Bulk.

Computed properties:
DOS(E_F)   0.103 states/eV/atom
E   -6.277 eV/atom
Space-group type   No. 115
Volume   178 Å³/cell

a b c (Å): 4.320 4.320 9.514
angles (deg): 90.00 90.00 90.00
Positions (direct):
1 Pr 0.000 0.500 0.248
2 Pr 0.500 0.000 0.752
3 Cu 0.000 0.000 0.500
4 P 0.000 0.000 0.000
5 P 0.000 0.500 0.629
6 P 0.500 0.000 0.371
7 P 0.500 0.500 0.000
8 Pt 0.000 0.500 0.885
9 Pt 0.500 0.000 0.115
10 Pt 0.500 0.500 0.500

Entry 17:
First-principles (PBE-GGA) data for a relaxed Pr2CuP3Pt4 crystal, as listed in Alexandria via LeMat-Bulk.

Computed properties:
DOS(E_F)   0.516 states/eV/atom
E   -6.317 eV/atom
Space-group type   No. 115
Volume   179 Å³/cell

a b c (Å): 4.306 4.306 9.669
angles (deg): 90.00 90.00 90.00
Positions (direct):
1 Pr 0.000 0.500 0.248
2 Pr 0.500 0.000 0.752
3 Cu 0.500 0.500 0.000
4 P 0.000 0.000 0.000
5 P 0.000 0.500 0.633
6 P 0.500 0.000 0.367
7 Pt 0.000 0.000 0.500
8 Pt 0.000 0.500 0.877
9 Pt 0.500 0.000 0.123
10 Pt 0.500 0.500 0.500

Entry 18:
First-principles (PBE-GGA) data for a relaxed Pr2CuP3Rh4 crystal, as listed in Alexandria via LeMat-Bulk.

Computed properties:
DOS(E_F)   0.504 states/eV/atom
E   -6.889 eV/atom
Space-group type   No. 115
Volume   170 Å³/cell

a b c (Å): 4.149 4.149 9.849
angles (deg): 90.00 90.00 90.00
Positions (direct):
1 Pr 0.000 0.500 0.242
2 Pr 0.500 0.000 0.758
3 Cu 0.500 0.500 0.000
4 P 0.000 0.000 0.000
5 P 0.000 0.500 0.635
6 P 0.500 0.000 0.365
7 Rh 0.000 0.000 0.500
8 Rh 0.000 0.500 0.870
9 Rh 0.500 0.000 0.130
10 Rh 0.500 0.500 0.500

Entry 19:
First-principles (PBE-GGA) data for a relaxed Pr2CuP3Rh12 crystal, as listed in Alexandria via LeMat-Bulk.

Computed properties:
DOS(E_F)   0.679 states/eV/atom
E   -6.746 eV/atom
Space-group type   No. 166
Volume   318 Å³/cell

a b c (Å): 7.085 7.085 7.085
angles (deg): 73.36 73.36 73.36
Positions (direct):
1 Pr 0.108 0.108 0.108
2 Pr 0.892 0.892 0.892
3 Cu 0.500 0.500 0.500
4 P 0.000 0.500 0.500
5 P 0.500 0.000 0.500
6 P 0.500 0.500 0.000
7 Rh 0.144 0.643 0.643
8 Rh 0.169 0.169 0.585
9 Rh 0.169 0.585 0.169
10 Rh 0.357 0.357 0.856
11 Rh 0.357 0.856 0.357
12 Rh 0.415 0.831 0.831
13 Rh 0.585 0.169 0.169
14 Rh 0.643 0.144 0.643
15 Rh 0.643 0.643 0.144
16 Rh 0.831 0.415 0.831
17 Rh 0.831 0.831 0.415
18 Rh 0.856 0.357 0.357

Entry 20:
First-principles (PBE-GGA) data for a relaxed CuPPt crystal, as listed in Alexandria via LeMat-Bulk.

Computed properties:
DOS(E_F)   0.645 states/eV/atom
E   -5.241 eV/atom
Energy above the most stable polymorph in this dataset   119 meV/atom
Space-group type   No. 216
Volume   193 Å³/cell

a b c (Å): 5.778 5.778 5.778
angles (deg): 90.00 90.00 90.00
Positions (direct):
1 Cu 0.000 0.000 0.000
2 Cu 0.000 0.500 0.500
3 Cu 0.500 0.000 0.500
4 Cu 0.500 0.500 0.000
5 P 0.000 0.000 0.500
6 P 0.000 0.500 0.000
7 P 0.500 0.000 0.000
8 P 0.500 0.500 0.500
9 Pt 0.250 0.250 0.750
10 Pt 0.250 0.750 0.250
11 Pt 0.750 0.250 0.250
12 Pt 0.750 0.750 0.750